[1]
! Li2MnCo, PBEsol geometry, DFT SCAN; values from VASP
&SYSTEM
  ibrav = 0, nat = 4, ntyp = 3
/
ATOMIC_SPECIES
Co 58.93 Co.upf
Li 6.94 Li.upf
Mn 54.94 Mn.upf
ATOMIC_POSITIONS angstrom
Co -0.7247 -0.4569 -0.9448
Li -1.7434 0.1831 1.2487
Li -5.4093 0.5680 3.8746
Mn -4.3010 -0.0814 1.6169
CELL_PARAMETERS angstrom
-1.0121 1.3873 -1.6163
-0.4373 -2.3011 -0.2732
-7.1527 0.7510 5.1233
! **Volume**: 11.2 Å³ per atom
! **ΔH_f (0 K)**: 0.28 eV per atom
! **Calculated total energy**: -39.2 eV per cell

[2]
! Li2MnCo, PBEsol geometry, DFT SCAN; values from VASP
&SYSTEM
  ibrav = 0, nat = 4, ntyp = 3
/
ATOMIC_SPECIES
Co 58.93 Co.upf
Li 6.94 Li.upf
Mn 54.94 Mn.upf
ATOMIC_POSITIONS angstrom
Co 0.0000 0.0000 0.0000
Li 2.0277 1.1707 0.8278
Li 6.0831 3.5121 2.4834
Mn 4.0554 2.3414 1.6556
CELL_PARAMETERS angstrom
4.0554 0.0000 0.0000
2.0277 3.5121 0.0000
2.0277 1.1707 3.3112
! **Volume**: 11.8 Å³ per atom
! **ΔH_f (0 K)**: 0.38 eV per atom
! **Calculated total energy**: -38.8 eV per cell

[3]
! Li3Mn3CoO8, PBEsol geometry, DFT SCAN; values from VASP
&SYSTEM
  ibrav = 0, nat = 15, ntyp = 4
/
ATOMIC_SPECIES
Li 6.94 Li.upf
Mn 54.94 Mn.upf
Co 58.93 Co.upf
O 16.00 O.upf
ATOMIC_POSITIONS angstrom
Li 4.1899 0.8063 2.3857
Li 2.7932 3.2254 2.3857
Li 1.3966 0.8063 2.3857
Mn 4.1899 2.4190 0.0000
Mn 2.7932 0.0000 0.0000
Mn 1.3966 2.4190 0.0000
Co 0.0000 0.0000 0.0000
O 7.0015 4.0423 1.0323
O 2.7932 1.6127 1.0830
O 4.1715 4.0423 1.0323
O 5.5865 1.5915 1.0323
O 5.5865 4.8593 3.7392
O 7.0015 2.4084 3.7392
O 8.3797 4.8381 3.6885
O 4.1715 2.4084 3.7392
CELL_PARAMETERS angstrom
5.5865 0.0000 0.0000
2.7932 4.8381 0.0000
2.7932 1.6127 4.7714
! **Volume**: 8.6 Å³ per atom
! **Formation energy from raw total energies**: -2.1001 eV/atom
! **Calculated total energy**: -160.6 eV per cell

The following M_tot values (in μB/f.u.) correspond, in order, to the records above: 4.08; 5.25; 7.00.
The following DOS(E_F) values (in states/eV per atom) correspond, in order, to the records above: 0.5189; 0.9298; 0.1795.